Entry 1:
# TbPm8Y2

A relaxed TbPm8Y2 crystal (PBE-GGA, Alexandria).

Structure (CIF):
```
data_TbPm8Y2
_cell_length_a 18.4918
_cell_length_b 5.1337
_cell_length_c 8.1144
_cell_angle_alpha 90.00
_cell_angle_beta 105.25
_cell_angle_gamma 90.00
_space_group_name_H-M_alt 'C 1 2/m 1'
_space_group_IT_number 12
loop_
_space_group_symop_operation_xyz
'x,y,z'
'-x,-y,-z'
'-x,y,-z'
'x,-y,z'
'x+1/2,y+1/2,z'
'-x+1/2,-y+1/2,-z'
'-x+1/2,y+1/2,-z'
'x+1/2,-y+1/2,z'
loop_
_atom_site_label
_atom_site_type_symbol
_atom_site_fract_x
_atom_site_fract_y
_atom_site_fract_z
Tb1 Tb 0.0000 0.0000 0.0000
Pm1 Pm 0.0457 0.5000 0.7279
Pm2 Pm 0.0909 0.0000 0.4533
Pm3 Pm 0.1365 0.5000 0.1825
Pm4 Pm 0.1817 0.0000 0.9099
Y1 Y 0.2268 0.5000 0.6355
```

Computed properties:
Offset from the most stable computed form (meV/atom): 0



Entry 2:
# Tb6Pm12Y

A relaxed Tb6Pm12Y crystal (PBE-GGA, Alexandria).

Structure (CIF):
```
data_Tb6Pm12Y
_cell_length_a 12.1477
_cell_length_b 12.1477
_cell_length_c 15.2811
_cell_angle_alpha 90.00
_cell_angle_beta 90.00
_cell_angle_gamma 120.00
_space_group_name_H-M_alt 'R -3'
_space_group_IT_number 148
_space_group_name_Hall '-R 3'
loop_
_atom_site_label
_atom_site_type_symbol
_atom_site_fract_x
_atom_site_fract_y
_atom_site_fract_z
Tb1 Tb 0.0137 0.4253 0.1857
Pm1 Pm 0.0048 0.8301 0.6912
Pm2 Pm 0.0459 0.8501 0.9166
Y1 Y 0.0000 0.0000 0.5000
```

Computed properties:
Offset from the most stable computed form (meV/atom): 0



Entry 3:
# Tb2Pm12Y5

A relaxed Tb2Pm12Y5 crystal (PBE-GGA, Alexandria).

Structure (CIF):
```
data_Tb2Pm12Y5
_cell_length_a 17.9024
_cell_length_b 11.7560
_cell_length_c 6.2403
_cell_angle_alpha 90.00
_cell_angle_beta 102.40
_cell_angle_gamma 90.00
_space_group_name_H-M_alt 'C 1 2/m 1'
_space_group_IT_number 12
loop_
_space_group_symop_operation_xyz
'x,y,z'
'-x,-y,-z'
'-x,y,-z'
'x,-y,z'
'x+1/2,y+1/2,z'
'-x+1/2,-y+1/2,-z'
'-x+1/2,y+1/2,-z'
'x+1/2,-y+1/2,z'
loop_
_atom_site_label
_atom_site_type_symbol
_atom_site_fract_x
_atom_site_fract_y
_atom_site_fract_z
Tb1 Tb 0.0000 0.2303 0.0000
Pm1 Pm 0.0545 0.5000 0.2741
Pm2 Pm 0.1037 0.2496 0.6167
Pm3 Pm 0.1202 0.0000 0.0006
Pm4 Pm 0.1968 0.2564 0.1983
Y1 Y 0.0000 0.0000 0.5000
Y2 Y 0.1763 0.5000 0.8608
Y3 Y 0.2159 0.0000 0.5532
```

Computed properties:
Offset from the most stable computed form (meV/atom): 0



Entry 4:
# TbPm3Y12

A relaxed TbPm3Y12 crystal (PBE-GGA, Alexandria).

Structure (CIF):
```
data_TbPm3Y12
_cell_length_a 5.0694
_cell_length_b 5.0694
_cell_length_c 20.2912
_cell_angle_alpha 90.00
_cell_angle_beta 90.00
_cell_angle_gamma 90.00
_space_group_name_H-M_alt 'P 4/m m m'
_space_group_IT_number 123
_space_group_name_Hall '-P 4 2'
loop_
_atom_site_label
_atom_site_type_symbol
_atom_site_fract_x
_atom_site_fract_y
_atom_site_fract_z
Tb1 Tb 0.0000 0.0000 0.0000
Pm1 Pm 0.0000 0.0000 0.2493
Pm2 Pm 0.0000 0.0000 0.5000
Y1 Y 0.0000 0.5000 0.1238
Y2 Y 0.0000 0.5000 0.3745
Y3 Y 0.5000 0.5000 0.0000
Y4 Y 0.5000 0.5000 0.2490
Y5 Y 0.5000 0.5000 0.5000
```



Entry 5:
# Tb19Pm4Y6

A relaxed Tb19Pm4Y6 crystal (PBE-GGA, Alexandria).

Structure (CIF):
```
data_Tb19Pm4Y6
_cell_length_a 12.5119
_cell_length_b 12.5119
_cell_length_c 12.5119
_cell_angle_alpha 90.00
_cell_angle_beta 90.00
_cell_angle_gamma 90.00
_space_group_name_H-M_alt 'I 2 3'
_space_group_IT_number 197
_space_group_name_Hall 'I 2 2 3'
loop_
_atom_site_label
_atom_site_type_symbol
_atom_site_fract_x
_atom_site_fract_y
_atom_site_fract_z
Tb1 Tb 0.0000 0.0000 0.0000
Tb2 Tb 0.0000 0.0000 0.2586
Tb3 Tb 0.0619 0.2787 0.7399
Pm1 Pm 0.1807 0.1807 0.1807
Y1 Y 0.0000 0.1269 0.5000
```



Entry 6:
# Tb7PmY12

A relaxed Tb7PmY12 crystal (PBE-GGA, Alexandria).

Structure (CIF):
```
data_Tb7PmY12
_cell_length_a 18.5364
_cell_length_b 18.5364
_cell_length_c 6.7939
_cell_angle_alpha 90.00
_cell_angle_beta 90.00
_cell_angle_gamma 120.00
_space_group_name_H-M_alt 'R -3'
_space_group_IT_number 148
_space_group_name_Hall '-R 3'
loop_
_atom_site_label
_atom_site_type_symbol
_atom_site_fract_x
_atom_site_fract_y
_atom_site_fract_z
Tb1 Tb 0.0000 0.0000 0.0000
Tb2 Tb 0.0094 0.1564 0.2818
Pm1 Pm 0.0000 0.0000 0.5000
Y1 Y 0.0010 0.2138 0.7906
Y2 Y 0.0083 0.5373 0.2353
```

Computed properties:
Offset from the most stable computed form (meV/atom): 56



Entry 7:
# Tb6PmY2

A relaxed Tb6PmY2 crystal (PBE-GGA, Alexandria).

Structure (CIF):
```
data_Tb6PmY2
_cell_length_a 7.4255
_cell_length_b 7.4255
_cell_length_c 6.1378
_cell_angle_alpha 90.00
_cell_angle_beta 90.00
_cell_angle_gamma 120.00
_space_group_name_H-M_alt 'P -3 m 1'
_space_group_IT_number 164
_space_group_name_Hall '-P 3 2"'
loop_
_atom_site_label
_atom_site_type_symbol
_atom_site_fract_x
_atom_site_fract_y
_atom_site_fract_z
Tb1 Tb 0.1872 0.3744 0.2971
Pm1 Pm 0.0000 0.0000 0.0000
Y1 Y 0.3333 0.6667 0.7912
```

Computed properties:
Offset from the most stable computed form (meV/atom): 27



Entry 8:
# Tb12PmY5

A relaxed Tb12PmY5 crystal (PBE-GGA, Alexandria).

Structure (CIF):
```
data_Tb12PmY5
_cell_length_a 10.6981
_cell_length_b 5.0464
_cell_length_c 10.7097
_cell_angle_alpha 90.00
_cell_angle_beta 90.06
_cell_angle_gamma 90.00
_space_group_name_H-M_alt 'P 1 2/m 1'
_space_group_IT_number 10
loop_
_space_group_symop_operation_xyz
'x,y,z'
'-x,-y,-z'
'-x,y,-z'
'x,-y,z'
loop_
_atom_site_label
_atom_site_type_symbol
_atom_site_fract_x
_atom_site_fract_y
_atom_site_fract_z
Tb1 Tb 0.0007 0.0000 0.3336
Tb2 Tb 0.1654 0.5000 0.4992
Tb3 Tb 0.1672 0.5000 0.1672
Tb4 Tb 0.3323 0.0000 0.3323
Tb5 Tb 0.3337 0.0000 0.0008
Tb6 Tb 0.4993 0.5000 0.1654
Pm1 Pm 0.5000 0.5000 0.5000
Y1 Y 0.0000 0.0000 0.0000
Y2 Y 0.1664 0.5000 0.8336
Y3 Y 0.3328 0.0000 0.6672
```



Entry 9:
# Tb2PmY7

A relaxed Tb2PmY7 crystal (PBE-GGA, Alexandria).

Structure (CIF):
```
data_Tb2PmY7
_cell_length_a 8.8193
_cell_length_b 16.0104
_cell_length_c 5.6479
_cell_angle_alpha 90.00
_cell_angle_beta 90.00
_cell_angle_gamma 90.00
_space_group_name_H-M_alt 'C m m m'
_space_group_IT_number 65
_space_group_name_Hall '-C 2 2'
loop_
_atom_site_label
_atom_site_type_symbol
_atom_site_fract_x
_atom_site_fract_y
_atom_site_fract_z
Tb1 Tb 0.0000 0.2031 0.0000
Pm1 Pm 0.0000 0.5000 0.5000
Y1 Y 0.0000 0.0000 0.0000
Y2 Y 0.0000 0.2781 0.5000
Y3 Y 0.1774 0.3838 0.0000
```

Computed properties:
Offset from the most stable computed form (meV/atom): 481



Entry 10:
# Tb6PmY8

A relaxed Tb6PmY8 crystal (PBE-GGA, Alexandria).

Structure (CIF):
```
data_Tb6PmY8
_cell_length_a 9.0771
_cell_length_b 9.0771
_cell_length_c 20.7201
_cell_angle_alpha 90.00
_cell_angle_beta 90.00
_cell_angle_gamma 120.00
_space_group_name_H-M_alt 'R -3'
_space_group_IT_number 148
_space_group_name_Hall '-R 3'
loop_
_atom_site_label
_atom_site_type_symbol
_atom_site_fract_x
_atom_site_fract_y
_atom_site_fract_z
Tb1 Tb 0.0634 0.8166 0.2076
Pm1 Pm 0.0000 0.0000 0.5000
Y1 Y 0.0000 0.0000 0.0767
Y2 Y 0.0814 0.5279 0.3083
```



Entry 11:
# Tb3Pm2Y4

A relaxed Tb3Pm2Y4 crystal (PBE-GGA, Alexandria).

Structure (CIF):
```
data_Tb3Pm2Y4
_cell_length_a 16.4301
_cell_length_b 11.6488
_cell_length_c 6.1587
_cell_angle_alpha 90.00
_cell_angle_beta 96.05
_cell_angle_gamma 90.00
_space_group_name_H-M_alt 'C 1 2/c 1'
_space_group_IT_number 15
loop_
_space_group_symop_operation_xyz
'x,y,z'
'-x,-y,-z'
'-x,y,-z+1/2'
'x,-y,z+1/2'
'x+1/2,y+1/2,z'
'-x+1/2,-y+1/2,-z'
'-x+1/2,y+1/2,-z+1/2'
'x+1/2,-y+1/2,z+1/2'
loop_
_atom_site_label
_atom_site_type_symbol
_atom_site_fract_x
_atom_site_fract_y
_atom_site_fract_z
Tb1 Tb 0.0000 0.0953 0.2500
Tb2 Tb 0.1653 0.4018 0.0920
Pm1 Pm 0.1218 0.1439 0.8237
Y1 Y 0.0466 0.3590 0.5149
Y2 Y 0.2145 0.1369 0.3495
```

Computed properties:
Offset from the most stable computed form (meV/atom): 11



Entry 12:
# TbPmY

A relaxed TbPmY crystal (PBE-GGA, Alexandria).

Structure (CIF):
```
data_TbPmY
_cell_length_a 6.2764
_cell_length_b 3.6285
_cell_length_c 8.9496
_cell_angle_alpha 90.00
_cell_angle_beta 103.67
_cell_angle_gamma 90.00
_space_group_name_H-M_alt 'C 1 m 1'
_space_group_IT_number 8
loop_
_space_group_symop_operation_xyz
'x,y,z'
'x,-y,z'
'x+1/2,y+1/2,z'
'x+1/2,-y+1/2,z'
loop_
_atom_site_label
_atom_site_type_symbol
_atom_site_fract_x
_atom_site_fract_y
_atom_site_fract_z
Tb1 Tb 0.0000 0.0000 0.0000
Pm1 Pm 0.2800 0.5000 0.3371
Y1 Y 0.2233 0.0000 0.6727
```

Computed properties:
Offset from the most stable computed form (meV/atom): 0



| no. | energy of formation from the pure elements (eV per formula unit) | final energy (eV per atom) | total magnetization (μB/atom) |
| --- | --- | --- | --- |
| 1 | 0.16 | -5.0364 | 0.000 |
| 2 | 2.62 | -4.6651 | 0.000 |
| 3 | 1.82 | -5.0928 | 0.000 |
| 4 | 0.34 | -6.0067 | 0.000 |
| 5 | 11.19 | -4.6405 | 0.001 |
| 6 | 6.72 | -5.4008 | 0.000 |
| 7 | 1.99 | -4.8301 | 0.000 |
| 8 | 0.32 | -5.1284 | 0.000 |
| 9 | 6.95 | -5.2307 | 0.000 |
| 10 | 1.95 | -5.4866 | 0.000 |
| 11 | 0.83 | -5.3796 | 0.000 |
| 12 | 0.02 | -5.2757 | 0.000 |